# Na2InAu2 PBE-GGA relaxed
# **Formation energy**: -10.56 kJ per mole of atoms
# **Offset from the most stable computed form**: 0.209 eV/atom
# **Calculated volume**: 24.37 Å³/atom
# **Mass density**: 7.56 g/cm³
# **Total magnetization**: 0.000 μB per atom
data_Na2InAu2
_cell_length_a 7.475
_cell_length_b 7.475
_cell_length_c 7.475
_cell_angle_alpha 147.24
_cell_angle_beta 147.24
_cell_angle_gamma 47.00
_symmetry_space_group_name_H-M 'P 1'
_symmetry_Int_Tables_number 1
loop_
_symmetry_equiv_pos_as_xyz
'x,y,z'
loop_
_atom_site_label
_atom_site_fract_x
_atom_site_fract_y
_atom_site_fract_z
Na1 0.250 0.750 0.500
Na2 0.750 0.250 0.500
In1 0.000 0.000 0.000
Au1 0.400 0.400 0.000
Au2 0.600 0.600 0.000

***

# TaInSe4 PBE-GGA relaxed
# **Offset from the most stable computed form**: 1.413 eV/atom
# **E_form (uncorrected)**: 0.862 eV per atom
# **Calculated volume**: 21.83 Å³/atom
# **Mass density**: 7.75 g/cm³
# **Total magnetization**: 0.400 μB per atom
data_TaInSe4
_cell_length_a 5.700
_cell_length_b 5.700
_cell_length_c 5.700
_cell_angle_alpha 60.00
_cell_angle_beta 60.00
_cell_angle_gamma 60.00
_symmetry_space_group_name_H-M 'P 1'
_symmetry_Int_Tables_number 1
loop_
_symmetry_equiv_pos_as_xyz
'x,y,z'
loop_
_atom_site_label
_atom_site_fract_x
_atom_site_fract_y
_atom_site_fract_z
Ta1 0.000 0.000 0.000
In1 0.750 0.750 0.750
Se1 0.374 0.374 0.374
Se2 0.374 0.374 0.879
Se3 0.374 0.879 0.374
Se4 0.879 0.374 0.374

***

# LiSc2BiN PBE-GGA relaxed
# **E_form (uncorrected)**: -1.012 eV per atom
# **Calculated volume**: 17.31 Å³/atom
# **Mass density**: 6.14 g/cm³
# **Total magnetization**: 0.000 μB per atom
data_LiSc2BiN
_cell_length_a 4.425
_cell_length_b 4.425
_cell_length_c 4.421
_cell_angle_alpha 90.00
_cell_angle_beta 90.00
_cell_angle_gamma 90.00
_symmetry_space_group_name_H-M 'P 1'
_symmetry_Int_Tables_number 1
loop_
_symmetry_equiv_pos_as_xyz
'x,y,z'
loop_
_atom_site_label
_atom_site_fract_x
_atom_site_fract_y
_atom_site_fract_z
Li1 0.000 0.000 0.000
Sc1 0.000 0.500 0.500
Sc2 0.500 0.000 0.500
Bi1 0.500 0.500 0.000
N1 0.000 0.000 0.500

***

# Ca2Mn2Ge2N PBE-GGA relaxed
# **E_form (uncorrected)**: -0.442 eV per atom
# **Calculated volume**: 16.66 Å³/atom
# **Mass density**: 4.97 g/cm³
# **Total magnetization**: 0.079 μB per atom
data_Ca2Mn2Ge2N
_cell_length_a 8.058
_cell_length_b 8.058
_cell_length_c 8.058
_cell_angle_alpha 151.79
_cell_angle_beta 151.79
_cell_angle_gamma 40.31
_symmetry_space_group_name_H-M 'P 1'
_symmetry_Int_Tables_number 1
loop_
_symmetry_equiv_pos_as_xyz
'x,y,z'
loop_
_atom_site_label
_atom_site_fract_x
_atom_site_fract_y
_atom_site_fract_z
Ca1 0.164 0.164 0.000
Ca2 0.836 0.836 0.000
Mn1 0.000 0.500 0.500
Mn2 0.500 0.000 0.500
Ge1 0.392 0.392 0.000
Ge2 0.608 0.608 0.000
N1 0.000 0.000 0.000

***

# CsPb2Br6 PBE-GGA relaxed
# **E_form (uncorrected)**: -0.971 eV per atom
# **Calculated volume**: 45.97 Å³/atom
# **Mass density**: 4.12 g/cm³
# **Total magnetization**: 0.000 μB per atom
data_CsPb2Br6
_cell_length_a 7.838
_cell_length_b 7.838
_cell_length_c 7.777
_cell_angle_alpha 90.00
_cell_angle_beta 90.00
_cell_angle_gamma 120.00
_symmetry_space_group_name_H-M 'P 1'
_symmetry_Int_Tables_number 1
loop_
_symmetry_equiv_pos_as_xyz
'x,y,z'
loop_
_atom_site_label
_atom_site_fract_x
_atom_site_fract_y
_atom_site_fract_z
Cs1 0.000 0.000 0.000
Pb1 0.333 0.667 0.500
Pb2 0.667 0.333 0.500
Br1 0.000 0.383 0.722
Br2 0.000 0.617 0.278
Br3 0.383 0.000 0.722
Br4 0.383 0.383 0.278
Br5 0.617 0.000 0.278
Br6 0.617 0.617 0.722

***

# Ba2Li3Al12Ag PBE-GGA relaxed
# **Formation energy**: 2.65 kJ per mole of atoms
# **Calculated volume**: 22.38 Å³/atom
# **Mass density**: 3.00 g/cm³
# **Total magnetization**: 0.000 μB per atom
data_Ba2Li3Al12Ag
_cell_length_a 10.770
_cell_length_b 10.770
_cell_length_c 10.770
_cell_angle_alpha 36.87
_cell_angle_beta 36.87
_cell_angle_gamma 36.87
_symmetry_space_group_name_H-M 'P 1'
_symmetry_Int_Tables_number 1
loop_
_symmetry_equiv_pos_as_xyz
'x,y,z'
loop_
_atom_site_label
_atom_site_fract_x
_atom_site_fract_y
_atom_site_fract_z
Ba1 0.149 0.149 0.149
Ba2 0.851 0.851 0.851
Li1 0.000 0.500 0.500
Li2 0.500 0.000 0.500
Li3 0.500 0.500 0.000
Al1 0.084 0.084 0.691
Al2 0.084 0.691 0.084
Al3 0.156 0.559 0.559
Al4 0.309 0.916 0.916
Al5 0.441 0.441 0.844
Al6 0.441 0.844 0.441
Al7 0.559 0.156 0.559
Al8 0.559 0.559 0.156
Al9 0.691 0.084 0.084
Al10 0.844 0.441 0.441
Al11 0.916 0.309 0.916
Al12 0.916 0.916 0.309
Ag1 0.500 0.500 0.500